1.
## YCO4 (PBE-GGA)

Data for a geometry-optimized YCO4 structure.

Cell and atoms, written as POSCAR:
```
YCO4
1.0
-0.300 0.085 -4.509
5.016 -3.920 0.348
-4.168 -5.318 0.176
C O Y
2 8 2
Direct
0.056 0.208 0.750 C
0.944 0.792 0.250 C
0.027 0.317 0.588 O
0.889 0.980 0.250 O
0.111 0.020 0.750 O
0.464 0.359 0.250 O
0.973 0.683 0.088 O
0.027 0.317 0.912 O
0.973 0.683 0.412 O
0.536 0.641 0.750 O
0.036 0.665 0.750 Y
0.964 0.335 0.250 Y
```

The value obtained for the uncorrected formation energy is -2.01 eV per atom. Its space group is No. 11. Its energy is -47.58 eV/f.u. Its calculated density is 2832 kg/m3. The energy above the most stable polymorph in this dataset is 0.000 eV/atom. The total magnetic moment is 1.98 μB/cell.



2.
## Y3CO (PBE-GGA)

Data for a geometry-optimized Y3CO structure.

Cell and atoms, written as POSCAR:
```
Y3CO
1.0
5.693 0.000 2.708
2.203 5.250 2.708
-0.029 -0.020 7.401
C Y O
2 6 2
Direct
0.832 0.832 0.504 C
0.168 0.168 0.496 C
0.770 0.086 0.724 Y
0.914 0.580 0.276 Y
0.580 0.230 0.276 Y
0.420 0.770 0.724 Y
0.086 0.420 0.724 Y
0.230 0.914 0.276 Y
0.571 0.571 0.288 O
0.429 0.429 0.712 O
```

The value obtained for the uncorrected formation energy is -1.12 eV per atom. Its space group is No. 148. Its energy is -39.17 eV/f.u. Its calculated density is 4413 kg/m3. The energy above the most stable polymorph in this dataset is 0.000 eV/atom. The total magnetic moment is 2.10 μB/cell.



3.
## Y2CO4 (PBE-GGA)

Data for a geometry-optimized Y2CO4 structure.

Cell and atoms, written as POSCAR:
```
Y2CO4
1.0
-1.955 0.682 -2.814
1.278 -2.843 -1.577
-5.116 -4.596 0.272
C O Y
1 4 2
Direct
0.000 0.000 0.000 C
0.000 0.500 0.000 O
0.500 0.000 0.000 O
0.813 0.813 0.373 O
0.187 0.187 0.627 O
0.362 0.362 0.276 Y
0.638 0.638 0.724 Y
```

The value obtained for the uncorrected formation energy is -1.75 eV per atom. Its space group is No. 139. Its energy is -54.21 eV/f.u. Its calculated density is 5376 kg/m3. The total magnetic moment is 0.95 μB/cell.



4.
## Y4CO2 (PBE-GGA)

Data for a geometry-optimized Y4CO2 structure.

Cell and atoms, written as POSCAR:
```
Y4CO2
1.0
3.377 0.000 -0.924
-0.742 5.288 -2.713
0.048 0.097 6.805
Y C O
4 1 2
Direct
0.623 0.283 0.246 Y
0.377 0.717 0.754 Y
0.873 0.197 0.745 Y
0.127 0.803 0.255 Y
0.000 0.000 0.000 C
0.259 0.255 0.518 O
0.741 0.745 0.482 O
```

The value obtained for the uncorrected formation energy is -1.69 eV per atom. Its space group is No. 12. Its energy is -56.85 eV/f.u. Its calculated density is 5408 kg/m3. The energy above the most stable polymorph in this dataset is 0.000 eV/atom. The total magnetic moment is 0.22 μB/cell.



5.
## Y3CO (PBE-GGA)

Data for a geometry-optimized Y3CO structure.

Cell and atoms, written as POSCAR:
```
Y3CO
1.0
-4.267 -1.495 -0.536
0.684 -3.119 3.246
-1.433 2.962 3.147
Y C O
3 1 1
Direct
0.500 0.000 0.000 Y
0.000 0.500 0.000 Y
0.000 0.000 0.500 Y
0.500 0.500 0.500 C
0.000 0.000 0.000 O
```

The value obtained for the uncorrected formation energy is -0.36 eV per atom. Its space group is No. 221. Its energy is -35.38 eV/f.u. Its calculated density is 5184 kg/m3. The energy above the most stable polymorph in this dataset is 0.758 eV/atom. The total magnetic moment is 0.00 μB/cell.



6.
## Y6C2O (PBE-GGA)

Data for a geometry-optimized Y6C2O structure.

Cell and atoms, written as POSCAR:
```
Y6C2O
1.0
-2.319 2.568 0.949
-5.545 -4.350 -1.782
2.550 -2.836 7.120
Y C O
6 2 1
Direct
0.330 0.430 0.659 Y
0.662 0.096 0.324 Y
0.995 0.760 0.990 Y
0.005 0.240 0.010 Y
0.338 0.904 0.676 Y
0.670 0.570 0.341 Y
0.837 0.673 0.674 C
0.163 0.327 0.326 C
0.500 0.000 0.000 O
```

The value obtained for the uncorrected formation energy is -0.83 eV per atom. Its space group is No. 12. Its energy is -69.69 eV/f.u. Its calculated density is 4792 kg/m3. The total magnetic moment is 0.00 μB/cell.



7.
## YC4O8 (PBE-GGA)

Data for a geometry-optimized YC4O8 structure.

Cell and atoms, written as POSCAR:
```
YC4O8
1.0
8.600 0.000 0.000
0.000 8.600 0.000
0.000 0.000 5.338
C O Y
8 16 2
Direct
0.737 0.262 0.347 C
0.763 0.238 0.653 C
0.762 0.763 0.347 C
0.238 0.237 0.347 C
0.263 0.738 0.347 C
0.237 0.762 0.653 C
0.262 0.263 0.653 C
0.738 0.737 0.653 C
0.823 0.816 0.792 O
0.323 0.316 0.208 O
0.134 0.141 0.295 O
0.634 0.641 0.705 O
0.141 0.866 0.705 O
0.316 0.677 0.792 O
0.816 0.177 0.208 O
0.366 0.359 0.705 O
0.859 0.134 0.705 O
0.684 0.323 0.792 O
0.641 0.366 0.295 O
0.677 0.684 0.208 O
0.866 0.859 0.295 O
0.359 0.634 0.295 O
0.177 0.184 0.792 O
0.184 0.823 0.208 O
0.500 0.500 0.000 Y
0.000 0.000 0.000 Y
```

The value obtained for the uncorrected formation energy is -1.47 eV per atom. Its space group is No. 85. Its energy is -102.18 eV/f.u. Its calculated density is 2229 kg/m3. The total magnetic moment is 1.10 μB/cell.



8.
## Y4CO2 (PBE-GGA)

Data for a geometry-optimized Y4CO2 structure.

Cell and atoms, written as POSCAR:
```
Y4CO2
1.0
-2.273 -3.163 2.814
2.425 -3.591 -2.077
4.396 -2.832 4.470
Y C O
4 1 2
Direct
0.500 0.000 0.000 Y
0.775 0.775 0.449 Y
0.000 0.500 0.000 Y
0.225 0.225 0.551 Y
0.000 0.000 0.000 C
0.398 0.398 0.203 O
0.602 0.602 0.797 O
```

The value obtained for the uncorrected formation energy is -1.36 eV per atom. Its space group is No. 139. Its energy is -54.52 eV/f.u. Its calculated density is 4805 kg/m3. The energy above the most stable polymorph in this dataset is 0.332 eV/atom. The total magnetic moment is 0.00 μB/cell.